Material: Lu3Ga8Ir3
Method: DFT, PBEsol
State: optimized geometry

Density (g/cm3): 11.51
Symmetry: Immm (71)
ΔE_f (eV/f.u.): -9.4
Crystal system: orthorhombic

Lattice parameters (Å, degrees): 8.010 8.010 8.010 150.35 106.22 81.47
Positions (direct):
Lu 0.000 0.000 0.000
Lu 0.334 0.334 0.000
Lu 0.666 0.666 0.000
Ga 0.043 0.672 0.372
Ga 0.159 0.875 0.284
Ga 0.300 0.672 0.628
Ga 0.409 0.125 0.284
Ga 0.591 0.875 0.716
Ga 0.700 0.328 0.372
Ga 0.841 0.125 0.716
Ga 0.957 0.328 0.628
Ir 0.278 0.500 0.778
Ir 0.500 0.000 0.500
Ir 0.722 0.500 0.222



Material: ReNi2Pt
Method: DFT, PBEsol
State: optimized geometry

Polymorph energy (0 for the lowest one) (meV per atom): 113
Density (g/cm3): 16.25
Symmetry: P2/m (10)
ΔE_f (eV/f.u.): 0.2
Crystal system: monoclinic

Lattice parameters (Å, degrees): 4.477 2.633 4.639 90.00 111.20 90.00
Positions (direct):
Re 0.000 0.000 0.000
Ni 0.500 0.000 0.500
Ni 0.500 0.500 0.000
Pt 0.000 0.500 0.500



Material: BaCdTeN2
Method: DFT, PBEsol
State: optimized geometry

DFT total energy (eV/cell): -19.81
Density (g/cm3): 5.47
Symmetry: P4/mmm (123)
Crystal system: tetragonal

Lattice parameters (Å, degrees): 4.691 4.691 5.597 90.00 90.00 90.00
Positions (direct):
Ba 0.000 0.000 0.000
Cd 0.500 0.500 0.500
Te 0.500 0.500 0.000
N 0.000 0.500 0.500
N 0.500 0.000 0.500



Material: MnPbAu3
Method: DFT, PBEsol
State: optimized geometry

Density (g/cm3): 12.38
Symmetry: Pm-3m (221)
ΔE_f (eV/f.u.): 2.8
Crystal system: cubic

Lattice parameters (Å, degrees): 4.854 4.854 4.854 90.00 90.00 90.00
Positions (direct):
Mn 0.000 0.000 0.000
Pb 0.500 0.500 0.500
Au 0.000 0.000 0.500
Au 0.000 0.500 0.000
Au 0.500 0.000 0.000



Material: CaB3H3O7
Method: DFT, PBEsol
State: optimized geometry

DFT total energy (eV/cell): -402.09
Density (g/cm3): 2.61
Symmetry: P2_1/c (14)
Crystal system: monoclinic

Lattice parameters (Å, degrees): 7.223 8.116 8.241 90.00 98.56 90.00
Positions (direct):
Ca 0.074 0.207 0.387
Ca 0.074 0.293 0.887
Ca 0.926 0.707 0.113
Ca 0.926 0.793 0.613
B 0.221 0.648 0.891
B 0.221 0.852 0.391
B 0.310 0.039 0.166
B 0.310 0.461 0.666
B 0.482 0.190 0.712
B 0.482 0.310 0.212
B 0.518 0.690 0.788
B 0.518 0.810 0.288
B 0.690 0.539 0.334
B 0.690 0.961 0.834
B 0.779 0.148 0.609
B 0.779 0.352 0.109
H 0.140 0.611 0.425
H 0.140 0.889 0.925
H 0.314 0.546 0.124
H 0.314 0.954 0.624
H 0.356 0.044 0.926
H 0.356 0.456 0.426
H 0.644 0.544 0.574
H 0.644 0.956 0.074
H 0.686 0.046 0.376
H 0.686 0.454 0.876
H 0.860 0.111 0.075
H 0.860 0.389 0.575
O 0.078 0.720 0.385
O 0.078 0.780 0.885
O 0.169 0.545 0.745
O 0.169 0.955 0.245
O 0.202 0.544 0.040
O 0.202 0.956 0.540
O 0.245 0.051 0.988
O 0.245 0.449 0.488
O 0.335 0.209 0.236
O 0.335 0.291 0.736
O 0.405 0.723 0.901
O 0.405 0.777 0.401
O 0.495 0.547 0.696
O 0.495 0.953 0.196
O 0.505 0.047 0.804
O 0.505 0.453 0.304
O 0.595 0.223 0.599
O 0.595 0.277 0.099
O 0.665 0.709 0.264
O 0.665 0.791 0.764
O 0.755 0.551 0.512
O 0.755 0.949 0.012
O 0.798 0.044 0.460
O 0.798 0.456 0.960
O 0.831 0.045 0.755
O 0.831 0.455 0.255
O 0.922 0.220 0.115
O 0.922 0.280 0.615



Material: Lu2ZnOs
Method: DFT, PBEsol
State: optimized geometry

Density (g/cm3): 13.46
Symmetry: Fm-3m (225)
ΔE_f (eV/f.u.): -1.5
Crystal system: cubic

Lattice parameters (Å, degrees): 4.727 4.727 4.727 60.00 60.00 60.00
Positions (direct):
Lu 0.250 0.250 0.250
Lu 0.750 0.750 0.750
Zn 0.000 0.000 0.000
Os 0.500 0.500 0.500



Material: NaPH3
Method: DFT, PBEsol
State: optimized geometry

DFT total energy (eV/cell): -11.55
Density (g/cm3): 1.98
Symmetry: Pm-3m (221)
Crystal system: cubic

Lattice parameters (Å, degrees): 3.629 3.629 3.629 90.00 90.00 90.00
Positions (direct):
Na 0.000 0.000 0.000
P 0.500 0.500 0.500
H 0.000 0.000 0.500
H 0.000 0.500 0.000
H 0.500 0.000 0.000



Material: ScZn2SiIr
Method: DFT, PBEsol
State: optimized geometry

DFT total energy (eV/cell): -23.71
Density (g/cm3): 6.16
Symmetry: P4/mmm (123)
Crystal system: tetragonal

Lattice parameters (Å, degrees): 4.706 4.706 4.818 90.00 90.00 90.00
Positions (direct):
Sc 0.000 0.000 0.000
Zn 0.000 0.500 0.500
Zn 0.500 0.000 0.500
Si 0.500 0.500 0.000
Ir 0.000 0.000 0.500



Question: Which value of density does entry 1 give?
Answer: 11.51 g/cm3



Question: Which of these has the highest density?
Answer: ReNi2Pt



Question: Look up the density of the third one.
Answer: 5.47 g/cm3



Question: density of number 3 (BaCdTeN2)?
Answer: 5.47 g/cm3